## YBiIr2F (PBE)

Data for an optimized crystal structure of YBiIr2F.

a = 4.5509 Å, b = 4.5509 Å, c = 4.6814 Å
α = 90.00°, β = 90.00°, γ = 90.00°
Last column: nearest neighbours and their distance in Å.
Space group P4/mmm (No. 123)
Asymmetric unit:
Y: 0.0000 0.0000 0.0000 x1  4 Bi 3.22, 8 Ir 3.26
Bi: 0.5000 0.5000 0.0000 x1  2 F 2.34
Ir: 0.0000 0.5000 0.5000 x2  2 F 2.28
F: 0.5000 0.5000 0.5000 x1  4 Ir 2.28, 2 Bi 2.34

## Properties
E_form (uncorrected) ... 0.188 eV per atom